Entry 1:
TlCd2SI (PBE-GGA, relaxed); energy relative to the elements, uncorrected = 0.54 eV per atom; SG = No. 123
1.0
5.786 0.000 0.000
0.000 5.786 0.000
0.000 0.000 6.520
Tl Cd S I
1 2 1 1
Direct
0.000 0.000 0.000 Tl
0.000 0.500 0.500 Cd
0.500 0.000 0.500 Cd
0.500 0.500 0.000 S
0.000 0.000 0.500 I

Entry 2:
Ca3ZnPd2 (PBE-GGA, relaxed); energy of formation = -0.58 eV per atom; SG = No. 62
1.0
11.807 0.000 0.000
0.000 4.358 0.000
0.000 0.000 11.540
Ca Zn Pd
12 4 8
Direct
0.052 0.250 0.121 Ca
0.123 0.750 0.566 Ca
0.203 0.250 0.809 Ca
0.297 0.750 0.309 Ca
0.377 0.250 0.066 Ca
0.448 0.750 0.621 Ca
0.552 0.250 0.379 Ca
0.623 0.750 0.934 Ca
0.703 0.250 0.691 Ca
0.797 0.750 0.191 Ca
0.877 0.250 0.434 Ca
0.948 0.750 0.879 Ca
0.129 0.250 0.375 Zn
0.371 0.750 0.875 Zn
0.629 0.250 0.125 Zn
0.871 0.750 0.625 Zn
0.029 0.750 0.314 Pd
0.193 0.750 0.003 Pd
0.307 0.250 0.503 Pd
0.471 0.250 0.814 Pd
0.529 0.750 0.186 Pd
0.693 0.750 0.497 Pd
0.807 0.250 0.997 Pd
0.971 0.250 0.686 Pd

Number 1: D(E_F) 3.4 states/eV/f.u.. Number 2: D(E_F) 2.5 states/eV/f.u..